# 1
A relaxed SmY2Ho9 crystal. Source: the Alexandria database, functional PBE.

Unit cell a=11.206 b=11.206 c=3.490 alpha=90.00 beta=90.00 gamma=120.00
Element x y z (fractional)
Sm (0.000, 0.000, 0.000)
Y (0.333, 0.667, 0.000)
Y (0.667, 0.333, 0.000)
Ho (0.000, 0.500, 0.000)
Ho (0.177, 0.354, 0.500)
Ho (0.177, 0.823, 0.500)
Ho (0.354, 0.177, 0.500)
Ho (0.500, 0.000, 0.000)
Ho (0.500, 0.500, 0.000)
Ho (0.646, 0.823, 0.500)
Ho (0.823, 0.177, 0.500)
Ho (0.823, 0.646, 0.500)

Properties
formation enthalpy at 0 K = 0.0515 eV per atom
magnetization = 0.00 μB/f.u.
space group = P6/mmm

# 2
A relaxed Sm5Y8Ho crystal. Source: the Alexandria database, functional PBE.

Unit cell a=8.492 b=8.492 c=8.492 alpha=110.88 beta=110.88 gamma=106.69
Element x y z (fractional)
Sm (0.000, 0.000, 0.000)
Sm (0.313, 0.637, 0.104)
Sm (0.363, 0.468, 0.677)
Sm (0.532, 0.209, 0.896)
Sm (0.791, 0.687, 0.323)
Y (0.023, 0.419, 0.253)
Y (0.071, 0.163, 0.739)
Y (0.166, 0.771, 0.747)
Y (0.229, 0.977, 0.395)
Y (0.424, 0.332, 0.261)
Y (0.581, 0.834, 0.605)
Y (0.668, 0.929, 0.092)
Y (0.837, 0.576, 0.908)
Ho (0.750, 0.250, 0.500)

Properties
formation enthalpy at 0 K = 0.2410 eV per atom
magnetization = 0.00 μB/f.u.
space group = I-4

# 3
A relaxed Sm6YHo2 crystal. Source: the Alexandria database, functional PBE.

Unit cell a=3.604 b=8.819 c=9.513 alpha=90.12 beta=100.87 gamma=90.09
Element x y z (fractional)
Sm (0.110, 0.166, 0.219)
Sm (0.222, 0.834, 0.442)
Sm (0.333, 0.500, 0.668)
Sm (0.667, 0.500, 0.332)
Sm (0.778, 0.166, 0.558)
Sm (0.890, 0.834, 0.781)
Y (0.000, 0.500, 0.000)
Ho (0.445, 0.167, 0.890)
Ho (0.555, 0.833, 0.110)

Properties
formation enthalpy at 0 K = 0.0164 eV per atom
magnetization = 0.00 μB/f.u.
space group = P-1

# 4
A relaxed Sm4YHo7 crystal. Source: the Alexandria database, functional PBE.

Unit cell a=6.530 b=6.811 c=9.057 alpha=85.39 beta=77.11 gamma=81.93
Element x y z (fractional)
Sm (0.137, 0.307, 0.284)
Sm (0.339, 0.884, 0.692)
Sm (0.661, 0.116, 0.308)
Sm (0.863, 0.693, 0.716)
Y (0.500, 0.500, 0.000)
Ho (0.013, 0.252, 0.949)
Ho (0.184, 0.799, 0.358)
Ho (0.311, 0.394, 0.614)
Ho (0.500, 0.000, 0.000)
Ho (0.689, 0.606, 0.386)
Ho (0.816, 0.201, 0.642)
Ho (0.987, 0.748, 0.051)

Properties
formation enthalpy at 0 K = 0.0871 eV per atom
magnetization = 0.00 μB/f.u.
space group = P-1

# 5
A relaxed Sm3Y2Ho crystal. Source: the Alexandria database, functional PBE.

Unit cell a=7.240 b=7.242 c=8.930 alpha=78.22 beta=78.26 gamma=60.05
Element x y z (fractional)
Sm (0.139, 0.138, 0.166)
Sm (0.250, 0.750, 0.500)
Sm (0.361, 0.862, 0.832)
Sm (0.639, 0.138, 0.168)
Sm (0.750, 0.250, 0.500)
Sm (0.861, 0.862, 0.834)
Y (0.139, 0.637, 0.168)
Y (0.360, 0.362, 0.834)
Y (0.640, 0.638, 0.166)
Y (0.861, 0.363, 0.832)
Ho (0.250, 0.250, 0.500)
Ho (0.750, 0.750, 0.500)

Properties
formation enthalpy at 0 K = 0.0033 eV per atom
magnetization = 0.00 μB/f.u.
space group = P-1

# 6
A relaxed Sm3Y2Ho2 crystal. Source: the Alexandria database, functional PBE.

Unit cell a=17.523 b=3.522 c=8.555 alpha=90.00 beta=118.95 gamma=90.00
Element x y z (fractional)
Sm (0.000, 0.000, 0.000)
Sm (0.212, 0.000, 0.301)
Sm (0.288, 0.500, 0.699)
Sm (0.500, 0.500, 0.000)
Sm (0.712, 0.500, 0.301)
Sm (0.788, 0.000, 0.699)
Y (0.145, 0.000, 0.824)
Y (0.355, 0.500, 0.176)
Y (0.645, 0.500, 0.824)
Y (0.855, 0.000, 0.176)
Ho (0.065, 0.500, 0.409)
Ho (0.435, 0.000, 0.591)
Ho (0.565, 0.000, 0.409)
Ho (0.935, 0.500, 0.591)

Properties
formation enthalpy at 0 K = 0.1068 eV per atom
magnetization = 0.00 μB/f.u.
space group = C2/m

no.,total DFT energy (no corrections) (eV/atom)
1,-4.85
2,-5.47
3,-4.87
4,-4.69
5,-5.27
6,-5.07